## YNiMo (PBEsol)

Data for a relaxed structure of YNiMo.

## Properties
- DFT formation energy: 0.17 eV/atom
- N(E_F): 3.96 states/eV per cell
- Energy above the lowest structure with this stoichiometry: 0.00 eV/f.u.
- V: 17.34 Å³/atom

Structure (CIF):
```
data_YNiMo
_space_group_name_H-M_alt 'I 4 m m'
_space_group_IT_number 107
_space_group_name_Hall 'I 4 -2'
_cell_length_a 3.056
_cell_length_b 3.056
_cell_length_c 11.144
_cell_angle_alpha 90.00
_cell_angle_beta 90.00
_cell_angle_gamma 90.00
loop_
_atom_site_label
_atom_site_type_symbol
_atom_site_fract_x
_atom_site_fract_y
_atom_site_fract_z
_atom_site_occupancy
Y1 Y 0.000 0.000 0.000 1
Ni1 Ni 0.000 0.000 0.311 1
Mo1 Mo 0.000 0.000 0.700 1
```


## SiRuCl2 (PBEsol)

Data for a relaxed structure of SiRuCl2.

## Properties
- N(E_F): 3.53 states/eV per cell
- Formation energy without anion corrections: 453 meV/atom
- Energy above the lowest structure with this stoichiometry: 1.91 eV/f.u.
- V: 15.65 Å³/atom

Structure (CIF):
```
data_SiRuCl2
_space_group_name_H-M_alt 'P m m m'
_space_group_IT_number 47
_cell_length_a 2.886
_cell_length_b 4.189
_cell_length_c 5.179
_cell_angle_alpha 90.00
_cell_angle_beta 90.00
_cell_angle_gamma 90.00
loop_
_space_group_symop_operation_xyz
'x,y,z'
'-x,-y,-z'
'-x,-y,z'
'x,y,-z'
'x,-y,-z'
'-x,y,z'
'-x,y,-z'
'x,-y,z'
loop_
_atom_site_label
_atom_site_type_symbol
_atom_site_fract_x
_atom_site_fract_y
_atom_site_fract_z
_atom_site_occupancy
Si1 Si 0.000 0.000 0.000 1
Ru1 Ru 0.500 0.000 0.500 1
Cl1 Cl 0.000 0.500 0.500 1
Cl2 Cl 0.500 0.500 0.000 1
```


## RbZnAu2 (PBEsol)

Data for a relaxed structure of RbZnAu2.

## Properties
- DFT formation energy: -0.10 eV/atom
- N(E_F): 6.12 states/eV per cell
- V: 30.11 Å³/atom

Structure (CIF):
```
data_RbZnAu2
_space_group_name_H-M_alt 'I 41/a m d'
_space_group_IT_number 141
_cell_length_a 5.290
_cell_length_b 5.290
_cell_length_c 17.218
_cell_angle_alpha 90.00
_cell_angle_beta 90.00
_cell_angle_gamma 90.00
loop_
_space_group_symop_operation_xyz
'x,y,z'
'-x,-y,-z'
'-y+1/4,x+3/4,z+1/4'
'y+1/4,-x+3/4,-z+1/4'
'-x+1/2,-y,z+1/2'
'x+1/2,y,-z+1/2'
'y+1/4,-x+1/4,z+3/4'
'-y+1/4,x+1/4,-z+3/4'
'x,-y,-z'
'-x,y,z'
'-y+1/4,-x+1/4,-z+3/4'
'y+1/4,x+1/4,z+3/4'
'-x+1/2,y,-z+1/2'
'x+1/2,-y,z+1/2'
'y+1/4,x+3/4,-z+1/4'
'-y+1/4,-x+3/4,z+1/4'
'x+1/2,y+1/2,z+1/2'
'-x+1/2,-y+1/2,-z+1/2'
'-y+3/4,x+1/4,z+3/4'
'y+3/4,-x+1/4,-z+3/4'
'-x,-y+1/2,z'
'x,y+1/2,-z'
'y+3/4,-x+3/4,z+1/4'
'-y+3/4,x+3/4,-z+1/4'
'x+1/2,-y+1/2,-z+1/2'
'-x+1/2,y+1/2,z+1/2'
'-y+3/4,-x+3/4,-z+1/4'
'y+3/4,x+3/4,z+1/4'
'-x,y+1/2,-z'
'x,-y+1/2,z'
'y+3/4,x+1/4,-z+3/4'
'-y+3/4,-x+1/4,z+3/4'
loop_
_atom_site_label
_atom_site_type_symbol
_atom_site_fract_x
_atom_site_fract_y
_atom_site_fract_z
_atom_site_occupancy
Rb1 Rb 0.000 0.250 0.375 1
Zn1 Zn 0.000 0.250 0.875 1
Au1 Au 0.000 0.000 0.000 1
```


## CaMnAu4 (PBEsol)

Data for a relaxed structure of CaMnAu4.

## Properties
- DFT formation energy: -0.18 eV/atom
- N(E_F): 13.52 states/eV per cell
- V: 19.07 Å³/atom

Structure (CIF):
```
data_CaMnAu4
_space_group_name_H-M_alt 'F -4 3 m'
_space_group_IT_number 216
_space_group_name_Hall 'F -4 2 3'
_cell_length_a 7.707
_cell_length_b 7.707
_cell_length_c 7.707
_cell_angle_alpha 90.00
_cell_angle_beta 90.00
_cell_angle_gamma 90.00
loop_
_atom_site_label
_atom_site_type_symbol
_atom_site_fract_x
_atom_site_fract_y
_atom_site_fract_z
_atom_site_occupancy
Ca1 Ca 0.000 0.000 0.000 1
Mn1 Mn 0.250 0.250 0.750 1
Au1 Au 0.125 0.125 0.375 1
```


## ReMoW (PBEsol)

Data for a relaxed structure of ReMoW.

## Properties
- DFT formation energy: 0.83 eV/atom
- N(E_F): 18.60 states/eV per cell
- Energy above the lowest structure with this stoichiometry: 2.28 eV/f.u.
- V: 17.98 Å³/atom

Structure (CIF):
```
data_ReMoW
_space_group_name_H-M_alt 'F -4 3 m'
_space_group_IT_number 216
_space_group_name_Hall 'F -4 2 3'
_cell_length_a 5.997
_cell_length_b 5.997
_cell_length_c 5.997
_cell_angle_alpha 90.00
_cell_angle_beta 90.00
_cell_angle_gamma 90.00
loop_
_atom_site_label
_atom_site_type_symbol
_atom_site_fract_x
_atom_site_fract_y
_atom_site_fract_z
_atom_site_occupancy
Re1 Re 0.000 0.000 0.000 1
Mo1 Mo 0.250 0.250 0.250 1
W1 W 0.250 0.250 0.750 1
```


## HoScS3 (PBEsol)

Data for a relaxed structure of HoScS3.

## Properties
- N(E_F): 0.00 states/eV per cell
- Formation energy without anion corrections: -2040 meV/atom
- V: 20.28 Å³/atom

Structure (CIF):
```
data_HoScS3
_space_group_name_H-M_alt 'P n m a'
_space_group_IT_number 62
_cell_length_a 6.941
_cell_length_b 9.353
_cell_length_c 6.248
_cell_angle_alpha 90.00
_cell_angle_beta 90.00
_cell_angle_gamma 90.00
loop_
_space_group_symop_operation_xyz
'x,y,z'
'-x,-y,-z'
'-x+1/2,-y,z+1/2'
'x+1/2,y,-z+1/2'
'x+1/2,-y+1/2,-z+1/2'
'-x+1/2,y+1/2,z+1/2'
'-x,y+1/2,-z'
'x,-y+1/2,z'
loop_
_atom_site_label
_atom_site_type_symbol
_atom_site_fract_x
_atom_site_fract_y
_atom_site_fract_z
_atom_site_occupancy
Ho1 Ho 0.106 0.250 0.043 1
Sc1 Sc 0.000 0.000 0.500 1
S1 S 0.048 0.750 0.352 1
S2 S 0.182 0.571 0.829 1
```